Record 1
## TaBeW2 (PBEsol)

Data for a geometry-optimized TaBeW2 structure.

- Volume: 14.77 A^3/atom
- Calculated total energy: -10.858 eV/atom
- Theoretical density: 15.68 Mg/m³
- ΔH_f (0 K): 0.1831 eV per atom

abc: 3.739 3.739 4.224
angles: 90.00 90.00 90.00
Space group P4/mmm (No. 123)
Asymmetric unit:
Ta 0.000 0.000 0.000 [1 per cell]
Be 0.500 0.500 0.000 [1 per cell]
W 0.000 0.500 0.500 [2 per cell]

Record 2
## LaAg2Hg (PBEsol)

Data for a geometry-optimized LaAg2Hg structure.

- Volume: 22.40 A^3/atom
- Calculated total energy: -3.414 eV/atom
- Theoretical density: 10.29 Mg/m³
- ΔH_f (0 K): -0.2801 eV per atom

abc: 7.103 7.103 7.103
angles: 90.00 90.00 90.00
Space group F-43m (No. 216)
Asymmetric unit:
La 0.000 0.000 0.000 [4 per cell]
Ag 0.000 0.000 0.500 [4 per cell]
Ag 0.250 0.250 0.750 [4 per cell]
Hg 0.250 0.250 0.250 [4 per cell]

Record 3
## RbAlCl4 (PBEsol)

Data for a geometry-optimized RbAlCl4 structure.

- Volume: 29.84 A^3/atom
- Uncorrected formation energy: -1.744 eV per atom
- Calculated total energy: -3.936 eV/atom
- Theoretical density: 2.36 Mg/m³

abc: 11.126 6.976 9.227
angles: 90.00 90.00 90.00
Space group Pnma (No. 62)
Asymmetric unit:
Rb 0.183 0.250 0.171 [4 per cell]
Al 0.064 0.250 0.690 [4 per cell]
Cl 0.079 0.001 0.827 [8 per cell]
Cl 0.108 0.750 0.414 [4 per cell]
Cl 0.212 0.250 0.541 [4 per cell]

Record 4
## MgAuIN2 (PBEsol)

Data for a geometry-optimized MgAuIN2 structure.

- Volume: 20.24 A^3/atom
- Uncorrected formation energy: 1.300 eV per atom
- Calculated total energy: -3.592 eV/atom
- Theoretical density: 6.17 Mg/m³

abc: 4.100 4.100 6.020
angles: 90.00 90.00 90.00
Space group P4/mmm (No. 123)
Asymmetric unit:
Mg 0.000 0.000 0.000 [1 per cell]
Au 0.500 0.500 0.500 [1 per cell]
I 0.000 0.000 0.500 [1 per cell]
N 0.000 0.500 0.000 [2 per cell]

Record 5
## MgPb2Br (PBEsol)

Data for a geometry-optimized MgPb2Br structure.

- Volume: 26.92 A^3/atom
- Uncorrected formation energy: -0.191 eV per atom
- Excess energy over the best structure of this formula in the dataset: 0.147 eV per atom
- Calculated total energy: -3.087 eV/atom
- Theoretical density: 8.00 Mg/m³

abc: 3.496 3.496 8.808
angles: 90.00 90.00 90.00
Space group P4/mmm (No. 123)
Asymmetric unit:
Mg 0.000 0.000 0.000 [1 per cell]
Pb 0.500 0.500 0.241 [2 per cell]
Br 0.000 0.000 0.500 [1 per cell]

Record 6
## ZrTc2Ir (PBEsol)

Data for a geometry-optimized ZrTc2Ir structure.

- Volume: 15.57 A^3/atom
- Excess energy over the best structure of this formula in the dataset: 0.000 eV per atom
- Calculated total energy: -10.540 eV/atom
- Theoretical density: 12.78 Mg/m³
- ΔH_f (0 K): -0.1789 eV per atom

abc: 2.803 4.416 5.092
angles: 90.00 98.72 90.00
Space group Pm (No. 6)
Asymmetric unit:
Zr 0.000 0.000 0.000 [1 per cell]
Tc 0.233 0.500 0.664 [1 per cell]
Tc 0.590 0.000 0.507 [1 per cell]
Ir 0.577 0.500 0.205 [1 per cell]

Record 7
## Ta2MnPt (PBEsol)

Data for a geometry-optimized Ta2MnPt structure.

- Volume: 15.28 A^3/atom
- Calculated total energy: -10.659 eV/atom
- Theoretical density: 16.62 Mg/m³
- ΔH_f (0 K): -0.2026 eV per atom

abc: 3.847 3.847 8.262
angles: 90.00 90.00 90.00
Space group I-4m2 (No. 119)
Asymmetric unit:
Ta 0.000 0.000 0.000 [2 per cell]
Ta 0.000 0.500 0.250 [2 per cell]
Mn 0.000 0.000 0.500 [2 per cell]
Pt 0.000 0.500 0.750 [2 per cell]

Record 8
## HfGaS2 (PBEsol)

Data for a geometry-optimized HfGaS2 structure.

- Volume: 22.08 A^3/atom
- Uncorrected formation energy: -1.056 eV per atom
- Calculated total energy: -6.709 eV/atom
- Theoretical density: 5.87 Mg/m³

abc: 3.4681 3.4681 25.4333
angles: 90.00 90.00 120.00
Space group R-3m (No. 166, hexagonal axes)
Asymmetric unit:
Hf 0.0000 0.0000 0.0000 [3 per cell]
Ga 0.0000 0.0000 0.5000 [3 per cell]
S 0.0000 0.0000 0.3931 [6 per cell]

Record 9
## LiTlW2 (PBEsol)

Data for a geometry-optimized LiTlW2 structure.

- Volume: 16.42 A^3/atom
- Excess energy over the best structure of this formula in the dataset: 0.083 eV per atom
- Calculated total energy: -7.367 eV/atom
- Theoretical density: 14.64 Mg/m³
- ΔH_f (0 K): 0.6856 eV per atom

abc: 3.506 4.625 8.101
angles: 90.00 90.00 90.00
Space group Imm2 (No. 44)
Asymmetric unit:
Li 0.000 0.000 0.000 [2 per cell]
Tl 0.000 0.500 0.734 [2 per cell]
W 0.000 0.000 0.518 [2 per cell]
W 0.000 0.500 0.247 [2 per cell]

Record 10
## Zr4FeBr (PBEsol)

Data for a geometry-optimized Zr4FeBr structure.

- Volume: 21.19 A^3/atom
- Uncorrected formation energy: 0.715 eV per atom
- Calculated total energy: -7.151 eV/atom
- Theoretical density: 6.54 Mg/m³

abc: 7.982 7.982 7.982
angles: 90.00 90.00 90.00
Space group F-43m (No. 216)
Asymmetric unit:
Zr 0.122 0.122 0.122 [16 per cell]
Fe 0.250 0.250 0.750 [4 per cell]
Br 0.000 0.000 0.500 [4 per cell]

Record 11
## Zn2AgAu2 (PBEsol)

Data for a geometry-optimized Zn2AgAu2 structure.

- Volume: 16.74 A^3/atom
- Excess energy over the best structure of this formula in the dataset: 0.073 eV per atom
- Calculated total energy: -2.940 eV/atom
- Theoretical density: 12.55 Mg/m³
- ΔH_f (0 K): -0.0754 eV per atom

abc: 3.601 3.601 12.904
angles: 90.00 90.00 90.00
Space group I4/mmm (No. 139)
Asymmetric unit:
Zn 0.000 0.500 0.250 [4 per cell]
Ag 0.000 0.000 0.000 [2 per cell]
Au 0.000 0.000 0.396 [4 per cell]

Record 12
## ZnPtAu2 (PBEsol)

Data for a geometry-optimized ZnPtAu2 structure.

- Volume: 15.48 A^3/atom
- Calculated total energy: -4.310 eV/atom
- Theoretical density: 17.55 Mg/m³
- ΔH_f (0 K): -0.2118 eV per atom

abc: 2.846 2.846 7.645
angles: 90.00 90.00 90.00
Space group P4mm (No. 99)
Asymmetric unit:
Zn 0.000 0.000 0.000 [1 per cell]
Pt 0.500 0.500 0.783 [1 per cell]
Au 0.000 0.000 0.518 [1 per cell]
Au 0.500 0.500 0.242 [1 per cell]

- Which of these has the lowest volume?
  TaBeW2